Record 1
Material: AlNiAs2
Method: DFT, GGA-PBEsol
State: optimized geometry

Cell lengths 3.424, 4.205, 4.205 Å; angles 90.00, 90.00, 90.00 degrees
Sites, in units of the cell vectors:
As 0.000 0.000 0.500
Ni 0.500 0.500 0.500
Al 0.500 0.000 0.000
As 0.000 0.500 0.000

Calculated values
- Density of states at the Fermi level: 0.535 states/eV per atom
- Energy of formation from the pure elements: 0.125 eV/atom



Record 2
Material: Al2AsO
Method: DFT, GGA-PBEsol
State: optimized geometry

Cell lengths 4.240, 4.240, 4.240 Å; angles 60.00, 60.00, 60.00 degrees
Sites, in units of the cell vectors:
Al 0.750 0.750 0.750
O 0.000 0.000 0.000
Al 0.250 0.250 0.250
As 0.500 0.500 0.500

Calculated values
- Density of states at the Fermi level: 0.229 states/eV per atom
- Formation energy (no corrections): -280 meV per atom



Record 3
Material: AlAsO4
Method: DFT, GGA-PBEsol
State: optimized geometry

Cell lengths 5.045, 5.045, 11.323 Å; angles 90.00, 90.00, 120.00 degrees
Sites, in units of the cell vectors:
O 0.112 0.402 0.712
Al 0.000 0.543 0.833
O 0.888 0.290 0.954
O 0.598 0.710 0.046
O 0.402 0.112 0.621
O 0.895 0.300 0.449
O 0.105 0.404 0.217
As 0.455 0.455 0.667
Al 0.457 0.457 0.167
O 0.710 0.598 0.288
Al 0.543 0.000 0.500
O 0.404 0.105 0.116
As 0.545 0.000 0.000
O 0.300 0.895 0.884
As 0.000 0.545 0.333
O 0.596 0.700 0.551
O 0.290 0.888 0.379
O 0.700 0.596 0.783

Calculated values
- Density of states at the Fermi level: 0.000 states/eV per atom
- Formation energy (no corrections): -1954 meV per atom



Record 4
Material: AlAsO4
Method: DFT, GGA-PBEsol
State: optimized geometry

Cell lengths 5.128, 5.239, 5.128 Å; angles 60.70, 90.00, 119.30 degrees
Sites, in units of the cell vectors:
O 0.004 0.750 0.867
O 0.383 0.250 0.004
Al 0.000 0.000 0.000
O 0.867 0.250 0.746
O 0.746 0.750 0.383
As 0.750 0.500 0.750

Calculated values
- Density of states at the Fermi level: 0.000 states/eV per atom
- Formation energy (no corrections): -1950 meV per atom



Record 5
Material: AlAsOs2O
Method: DFT, GGA-PBEsol
State: optimized geometry

Cell lengths 4.488, 4.488, 4.542 Å; angles 90.00, 90.00, 90.00 degrees
Sites, in units of the cell vectors:
Al 0.000 0.000 0.000
Os 0.500 0.000 0.000
Os 0.000 0.500 0.000
O 0.500 0.500 0.500
As 0.000 0.000 0.500

Calculated values
- Density of states at the Fermi level: 1.015 states/eV per atom
- Formation energy (no corrections): 2287 meV per atom



Record 6
Material: Al2AsOs
Method: DFT, GGA-PBEsol
State: optimized geometry

Cell lengths 3.875, 3.875, 4.743 Å; angles 114.11, 114.11, 90.00 degrees
Sites, in units of the cell vectors:
Al 0.250 0.750 0.500
Al 0.750 0.250 0.500
As 0.500 0.500 0.000
Os 0.000 0.000 0.000

Calculated values
- Density of states at the Fermi level: 0.583 states/eV per atom
- Energy of formation from the pure elements: 0.048 eV/atom



Record 7
Material: Al2AsOs
Method: DFT, GGA-PBEsol
State: optimized geometry

Cell lengths 3.130, 4.165, 4.921 Å; angles 90.00, 108.54, 90.00 degrees
Sites, in units of the cell vectors:
Os 0.679 0.500 0.359
As 0.830 0.000 0.661
Al 0.407 0.500 0.814
Al 0.097 0.000 0.193

Calculated values
- Density of states at the Fermi level: 0.320 states/eV per atom
- Energy of formation from the pure elements: -0.200 eV/atom



Record 8
Material: Al3AsOs
Method: DFT, GGA-PBEsol
State: optimized geometry

Cell lengths 4.693, 4.693, 4.693 Å; angles 90.00, 90.00, 90.00 degrees
Sites, in units of the cell vectors:
As 0.500 0.500 0.500
Al 0.000 0.000 0.500
Os 0.000 0.000 0.000
Al 0.500 0.000 0.000
Al 0.000 0.500 0.000

Calculated values
- Density of states at the Fermi level: 1.049 states/eV per atom
- Energy of formation from the pure elements: 0.387 eV/atom



Record 9
Material: AlAsPSe2
Method: DFT, GGA-PBEsol
State: optimized geometry

Cell lengths 4.782, 4.734, 4.734 Å; angles 90.00, 90.00, 90.00 degrees
Sites, in units of the cell vectors:
As 0.500 0.000 0.000
Al 0.500 0.500 0.500
Se 0.000 0.000 0.500
Se 0.000 0.500 0.000
P 0.000 0.000 0.000

Calculated values
- Density of states at the Fermi level: 0.753 states/eV per atom
- Relative energy among the computed polymorphs: 0.000 eV per atom
- Formation energy (no corrections): 459 meV per atom



Record 10
Material: AlAsPSe2
Method: DFT, GGA-PBEsol
State: optimized geometry

Cell lengths 4.723, 4.723, 4.794 Å; angles 90.00, 90.00, 90.00 degrees
Sites, in units of the cell vectors:
As 0.000 0.000 0.500
Se 0.500 0.000 0.000
Al 0.000 0.000 0.000
P 0.500 0.500 0.500
Se 0.000 0.500 0.000

Calculated values
- Density of states at the Fermi level: 0.774 states/eV per atom
- Relative energy among the computed polymorphs: 0.161 eV per atom
- Formation energy (no corrections): 621 meV per atom



Record 11
Material: AlAs2PSe
Method: DFT, GGA-PBEsol
State: optimized geometry

Cell lengths 4.744, 4.744, 4.703 Å; angles 90.00, 90.00, 90.00 degrees
Sites, in units of the cell vectors:
Se 0.000 0.000 0.500
As 0.500 0.000 0.000
P 0.000 0.000 0.000
As 0.000 0.500 0.000
Al 0.500 0.500 0.500

Calculated values
- Density of states at the Fermi level: 0.803 states/eV per atom
- Formation energy (no corrections): 577 meV per atom



Record 12
Material: AlTc2AsP
Method: DFT, GGA-PBEsol
State: optimized geometry

Cell lengths 4.438, 4.560, 4.560 Å; angles 90.00, 90.00, 90.00 degrees
Sites, in units of the cell vectors:
Tc 0.000 0.000 0.500
Tc 0.000 0.500 0.000
Al 0.500 0.500 0.500
As 0.000 0.000 0.000
P 0.500 0.000 0.000

Calculated values
- Density of states at the Fermi level: 1.275 states/eV per atom
- Energy of formation from the pure elements: 1.231 eV/atom



Q: Which of these has the highest density of states at the Fermi level?
A: AlTc2AsP